# 1
Below is Co2Mo4C at its PBEsol-relaxed geometry, with properties calculated at the meta-GGA SCAN level.

Cell: 7.8878 7.8878 7.8878 Å, 60.00 60.00 60.00°
Last column: magnetic moment on the atom in μB.
Fractional positions:
Mo1 0.4381 0.4381 0.0619  0.00
Mo2 0.6250 0.6250 0.1250  -0.17
Mo3 0.8119 0.8119 0.1881  0.00
Mo4 0.0619 0.4381 0.0619  0.00
Mo5 0.6250 0.1250 0.6250  -0.17
Mo6 0.4381 0.0619 0.0619  0.00
Mo7 0.6250 0.6250 0.6250  -0.17
Mo8 0.1250 0.6250 0.6250  -0.17
Mo9 0.0619 0.4381 0.4381  0.00
Mo10 0.0619 0.0619 0.4381  0.00
Mo11 0.8119 0.1881 0.1881  0.00
Mo12 0.1881 0.1881 0.8119  0.00
Mo13 0.4381 0.0619 0.4381  0.00
Mo14 0.1881 0.8119 0.8119  0.00
Mo15 0.1881 0.8119 0.1881  0.00
Mo16 0.8119 0.1881 0.8119  0.00
Co1 0.7434 0.4189 0.4189  0.92
Co2 0.4189 0.4189 0.4189  0.92
Co3 0.8311 0.5066 0.8311  0.92
Co4 0.5066 0.8311 0.8311  0.92
Co5 0.4189 0.4189 0.7434  0.92
Co6 0.8311 0.8311 0.5066  0.92
Co7 0.4189 0.7434 0.4189  0.92
Co8 0.8311 0.8311 0.8311  0.92
C1 0.1250 0.1250 0.1250  0.00
C2 0.6250 0.1250 0.1250  0.00
C3 0.1250 0.1250 0.6250  0.00
C4 0.1250 0.6250 0.1250  0.00

- SG: No. 227
- Energy: -26.3175 eV/atom
- ρ: 9.83 Mg/m³
- Calculated formation energy: 0.00 eV/atom
- N(E_F): 0.51 states/eV/atom


# 2
Below is Co3Mo3C at its PBEsol-relaxed geometry, with properties calculated at the meta-GGA SCAN level.

Cell: 7.7163 7.7163 7.7163 Å, 60.00 60.00 60.00°
Last column: magnetic moment on the atom in μB.
Fractional positions:
Mo1 0.9527 0.5473 0.9527  -0.01
Mo2 0.5473 0.9527 0.9527  -0.01
Mo3 0.7027 0.2973 0.7027  -0.01
Mo4 0.9527 0.9527 0.5473  -0.01
Mo5 0.9527 0.5473 0.5473  -0.01
Mo6 0.2973 0.7027 0.2973  -0.01
Mo7 0.7027 0.7027 0.2973  -0.01
Mo8 0.7027 0.2973 0.2973  -0.01
Mo9 0.2973 0.7027 0.7027  -0.01
Mo10 0.5473 0.9527 0.5473  -0.01
Mo11 0.5473 0.5473 0.9527  -0.01
Mo12 0.2973 0.2973 0.7027  -0.01
Co1 0.3298 0.3298 0.3298  1.53
Co2 0.9202 0.9202 0.2393  1.53
Co3 0.9202 0.2393 0.9202  1.53
Co4 0.0107 0.3298 0.3298  1.53
Co5 0.1250 0.1250 0.6250  1.61
Co6 0.1250 0.1250 0.1250  1.61
Co7 0.9202 0.9202 0.9202  1.53
Co8 0.6250 0.1250 0.1250  1.61
Co9 0.3298 0.0107 0.3298  1.53
Co10 0.1250 0.6250 0.1250  1.61
Co11 0.2393 0.9202 0.9202  1.53
Co12 0.3298 0.3298 0.0107  1.53
C1 0.6250 0.1250 0.6250  0.01
C2 0.6250 0.6250 0.1250  0.01
C3 0.6250 0.6250 0.6250  0.01
C4 0.1250 0.6250 0.6250  0.01

- SG: No. 227
- Energy: -23.7692 eV/atom
- ρ: 9.75 Mg/m³
- Calculated formation energy: 0.04 eV/atom
- N(E_F): 0.83 states/eV/atom


# 3
Below is CoTcMoC2 at its PBEsol-relaxed geometry, with properties calculated at the meta-GGA SCAN level.

Cell: 3.8486 3.8486 4.9316 Å, 90.00 90.00 90.00°
Last column: magnetic moment on the atom in μB.
Fractional positions:
Co1 0.5000 0.5000 0.5000  1.96
C1 0.0000 0.5000 0.0000  -0.01
C2 0.5000 0.0000 0.0000  -0.01
Tc1 0.0000 0.0000 0.0000  0.07
Mo1 0.0000 0.0000 0.5000  -0.71

- SG: No. 123
- Energy: -19.4530 eV/atom
- ρ: 6.29 Mg/m³
- Calculated formation energy: 2.04 eV/atom
- N(E_F): 0.78 states/eV/atom


# 4
Below is CoCN3 at its PBEsol-relaxed geometry, with properties calculated at the meta-GGA SCAN level.

Cell: 3.2473 3.2473 3.2473 Å, 90.00 90.00 90.00°
Fractional positions:
Co1 0.5000 0.5000 0.5000
N1 0.0000 0.5000 0.0000
N2 0.0000 0.0000 0.5000
N3 0.5000 0.0000 0.0000
C1 0.0000 0.0000 0.0000

- SG: No. 221
- Energy: -8.5416 eV/atom
- Formation energy (no corrections): 58.0 kcal/mol of atoms
- ρ: 5.48 Mg/m³
- N(E_F): 0.36 states/eV/atom